Here is an optimized crystal structure of Dy5BiOs from Alexandria. Energies are from PBE. Values from VASP.

```
&SYSTEM
  ibrav = 0, nat = 14, ntyp = 3
/
ATOMIC_SPECIES
Dy 162.50 Dy.upf
Bi 208.98 Bi.upf
Os 190.23 Os.upf
ATOMIC_POSITIONS crystal
Dy 0.9702 0.5981 0.1385
Dy 0.2119 0.5439 0.5407
Dy 0.5981 0.9702 0.6385
Dy 0.9685 0.0315 0.2500
Dy 0.4561 0.7881 0.9593
Dy 0.5439 0.2119 0.0407
Dy 0.0315 0.9685 0.7500
Dy 0.4019 0.0298 0.3615
Dy 0.7881 0.4561 0.4593
Dy 0.0298 0.4019 0.8615
Bi 0.4674 0.5326 0.2500
Bi 0.5326 0.4674 0.7500
Os 0.0000 0.0000 0.0000
Os 0.0000 0.0000 0.5000
CELL_PARAMETERS angstrom
6.4836 0.3981 -0.1589
2.4345 6.0223 -0.1589
3.1549 2.2713 10.7524
```

**SG**: C2/c (15)
**Fermi-level density of states**: 11.71 states/eV per cell
**Crystal system**: monoclinic
**Total energy**: -5.616 eV per atom